(1)
{
  "formula": "LaBe2ZnIr",
  "functional": "PBE",
  "state": "optimized geometry",
  "total_energy_ev_per_atom": -4.782,
  "formation_enthalpy_0k_ev_per_atom": -0.279,
  "lattice_angstrom": [[4.391, 0.000, 0.000], [0.000, 4.391, 0.000], [0.000, 0.000, 4.763]],
  "species": ["La", "Be", "Be", "Zn", "Ir"],
  "fractional_positions": [[0.000, 0.000, 0.000], [0.000, 0.500, 0.500], [0.500, 0.000, 0.500], [0.500, 0.500, 0.000], [0.500, 0.500, 0.500]]
}

(2)
{
  "formula": "LiBe3Ir2",
  "functional": "PBE",
  "state": "optimized geometry",
  "total_energy_ev_per_atom": -5.627,
  "formation_enthalpy_0k_ev_per_atom": -0.492,
  "lattice_angstrom": [[1.927, -5.941, 0.000], [1.927, 5.941, 0.000], [0.000, 0.000, 2.839]],
  "species": ["Li", "Be", "Be", "Be", "Ir", "Ir"],
  "fractional_positions": [[0.000, 0.000, 0.000], [0.184, 0.816, 0.500], [0.500, 0.500, 0.500], [0.816, 0.184, 0.500], [0.347, 0.653, 0.000], [0.653, 0.347, 0.000]]
}

(3)
{
  "formula": "LiBeIr",
  "functional": "PBE",
  "state": "optimized geometry",
  "total_energy_ev_per_atom": -5.125,
  "formation_enthalpy_0k_ev_per_atom": -0.291,
  "polymorph_energy_mev_per_atom": 10.1,
  "lattice_angstrom": [[-1.482, 1.482, 4.299], [1.482, -1.482, 4.299], [1.482, 1.482, -4.299]],
  "species": ["Li", "Be", "Ir"],
  "fractional_positions": [[0.000, 0.000, 0.000], [0.292, 0.292, 0.000], [0.700, 0.700, 0.000]]
}

(4)
{
  "formula": "LiBeIr",
  "functional": "PBE",
  "state": "optimized geometry",
  "total_energy_ev_per_atom": -5.015,
  "formation_enthalpy_0k_ev_per_atom": -0.181,
  "polymorph_energy_mev_per_atom": 119.8,
  "lattice_angstrom": [[3.874, 0.000, 0.000], [-1.937, 3.355, 0.000], [0.000, 0.000, 2.628]],
  "species": ["Li", "Be", "Ir"],
  "fractional_positions": [[0.000, 0.000, 0.000], [0.667, 0.333, 0.227], [0.333, 0.667, 0.550]]
}

(5)
{
  "formula": "LiBeIr2",
  "functional": "PBE",
  "state": "optimized geometry",
  "total_energy_ev_per_atom": -6.115,
  "formation_enthalpy_0k_ev_per_atom": -0.274,
  "lattice_angstrom": [[1.364, 0.787, 7.929], [-1.364, 0.787, 7.929], [0.000, -1.575, 7.929]],
  "species": ["Li", "Be", "Ir", "Ir"],
  "fractional_positions": [[0.000, 0.000, 0.000], [0.500, 0.500, 0.500], [0.241, 0.241, 0.241], [0.759, 0.759, 0.759]]
}

(6)
{
  "formula": "LiBeIr",
  "functional": "PBE",
  "state": "optimized geometry",
  "total_energy_ev_per_atom": -5.135,
  "formation_enthalpy_0k_ev_per_atom": -0.301,
  "polymorph_energy_mev_per_atom": 0.0,
  "lattice_angstrom": [[1.360, -6.625, 0.000], [1.360, 6.625, 0.000], [0.000, 0.000, 3.889]],
  "species": ["Li", "Li", "Be", "Be", "Ir", "Ir"],
  "fractional_positions": [[0.225, 0.775, 0.750], [0.775, 0.225, 0.250], [0.444, 0.556, 0.250], [0.556, 0.444, 0.750], [0.092, 0.908, 0.250], [0.908, 0.092, 0.750]]
}

(7)
{
  "formula": "LiBeIr",
  "functional": "PBE",
  "state": "optimized geometry",
  "total_energy_ev_per_atom": -5.105,
  "formation_enthalpy_0k_ev_per_atom": -0.271,
  "polymorph_energy_mev_per_atom": 29.6,
  "lattice_angstrom": [[6.575, -1.433, 0.000], [6.575, 1.433, 0.000], [-0.283, 0.000, 3.715]],
  "species": ["Li", "Li", "Be", "Be", "Ir", "Ir"],
  "fractional_positions": [[0.000, 0.000, 0.000], [0.500, 0.500, 0.500], [0.177, 0.177, 0.538], [0.823, 0.823, 0.462], [0.335, 0.335, 0.959], [0.665, 0.665, 0.041]]
}

(8)
{
  "formula": "LiBe6Ir5",
  "functional": "PBE",
  "state": "optimized geometry",
  "total_energy_ev_per_atom": -6.246,
  "formation_enthalpy_0k_ev_per_atom": -0.531,
  "lattice_angstrom": [[-1.964, 2.845, 5.853], [1.964, -2.845, 5.853], [1.964, 2.845, -5.853]],
  "species": ["Li", "Be", "Be", "Be", "Be", "Be", "Be", "Ir", "Ir", "Ir", "Ir", "Ir"],
  "fractional_positions": [[0.000, 0.000, 0.000], [0.089, 0.827, 0.262], [0.276, 0.500, 0.776], [0.435, 0.173, 0.262], [0.565, 0.827, 0.738], [0.724, 0.500, 0.224], [0.911, 0.173, 0.738], [0.152, 0.652, 0.500], [0.331, 0.331, 0.000], [0.500, 0.000, 0.500], [0.669, 0.669, 0.000], [0.848, 0.348, 0.500]]
}

(9)
{
  "formula": "LiBeIr",
  "functional": "PBE",
  "state": "optimized geometry",
  "total_energy_ev_per_atom": -4.839,
  "formation_enthalpy_0k_ev_per_atom": -0.005,
  "polymorph_energy_mev_per_atom": 296.0,
  "lattice_angstrom": [[0.000, 2.639, 2.639], [2.639, 0.000, 2.639], [2.639, 2.639, 0.000]],
  "species": ["Li", "Be", "Ir"],
  "fractional_positions": [[0.000, 0.000, 0.000], [0.250, 0.250, 0.250], [0.500, 0.500, 0.500]]
}

(10)
{
  "formula": "LiBeIr2",
  "functional": "PBE",
  "state": "optimized geometry",
  "total_energy_ev_per_atom": -6.061,
  "formation_enthalpy_0k_ev_per_atom": -0.220,
  "lattice_angstrom": [[2.752, 0.000, 0.000], [0.000, 4.438, 0.000], [0.000, 0.000, 4.070]],
  "species": ["Li", "Be", "Ir", "Ir"],
  "fractional_positions": [[0.000, 0.000, 0.000], [0.500, 0.500, 0.889], [0.000, 0.500, 0.385], [0.500, 0.000, 0.506]]
}

(11)
{
  "formula": "LiBeIr",
  "functional": "PBE",
  "state": "optimized geometry",
  "total_energy_ev_per_atom": -4.880,
  "formation_enthalpy_0k_ev_per_atom": -0.046,
  "polymorph_energy_mev_per_atom": 255.0,
  "lattice_angstrom": [[0.000, 2.237, 6.155], [1.424, 0.000, 6.155], [1.424, 2.237, 0.000]],
  "species": ["Li", "Be", "Ir"],
  "fractional_positions": [[0.000, 0.000, 0.000], [0.682, 0.682, 0.318], [0.323, 0.323, 0.677]]
}

(12)
{
  "formula": "Li2BeIr2",
  "functional": "PBE",
  "state": "optimized geometry",
  "total_energy_ev_per_atom": -5.149,
  "formation_enthalpy_0k_ev_per_atom": -0.093,
  "lattice_angstrom": [[5.719, 0.000, 0.000], [0.000, 5.719, 0.000], [0.000, 0.000, 4.347]],
  "species": ["Li", "Li", "Li", "Li", "Be", "Be", "Ir", "Ir", "Ir", "Ir"],
  "fractional_positions": [[0.164, 0.336, 0.000], [0.336, 0.836, 0.000], [0.664, 0.164, 0.000], [0.836, 0.664, 0.000], [0.000, 0.000, 0.500], [0.500, 0.500, 0.500], [0.152, 0.652, 0.500], [0.348, 0.152, 0.500], [0.652, 0.848, 0.500], [0.848, 0.348, 0.500]]
}

(13)
{
  "formula": "LiBeIr2",
  "functional": "PBE",
  "state": "optimized geometry",
  "total_energy_ev_per_atom": -6.050,
  "formation_enthalpy_0k_ev_per_atom": -0.209,
  "lattice_angstrom": [[2.679, 0.000, 0.000], [0.000, 3.854, 0.000], [-0.558, 0.000, 4.844]],
  "species": ["Li", "Be", "Ir", "Ir"],
  "fractional_positions": [[0.000, 0.000, 0.000], [0.500, 0.000, 0.500], [0.293, 0.500, 0.737], [0.707, 0.500, 0.263]]
}

(14)
{
  "formula": "LiBeIr2",
  "functional": "PBE",
  "state": "optimized geometry",
  "total_energy_ev_per_atom": -6.025,
  "formation_enthalpy_0k_ev_per_atom": -0.185,
  "lattice_angstrom": [[2.817, 0.000, 0.000], [0.000, 2.817, 0.000], [0.000, 0.000, 5.954]],
  "species": ["Li", "Be", "Ir", "Ir"],
  "fractional_positions": [[0.000, 0.000, 0.000], [0.000, 0.000, 0.500], [0.500, 0.500, 0.273], [0.500, 0.500, 0.727]]
}

(15)
{
  "formula": "LiBeIr2",
  "functional": "PBE",
  "state": "optimized geometry",
  "total_energy_ev_per_atom": -5.999,
  "formation_enthalpy_0k_ev_per_atom": -0.158,
  "lattice_angstrom": [[2.801, 0.000, 0.000], [0.000, 2.801, 0.000], [0.000, 0.000, 6.114]],
  "species": ["Li", "Be", "Ir", "Ir"],
  "fractional_positions": [[0.000, 0.000, 0.000], [0.500, 0.500, 0.219], [0.000, 0.000, 0.434], [0.500, 0.500, 0.740]]
}

(16)
{
  "formula": "LiBeIr2",
  "functional": "PBE",
  "state": "optimized geometry",
  "total_energy_ev_per_atom": -6.146,
  "formation_enthalpy_0k_ev_per_atom": -0.306,
  "lattice_angstrom": [[-1.374, 2.249, 4.133], [1.374, -2.249, 4.133], [1.374, 2.249, -4.133]],
  "species": ["Li", "Be", "Ir", "Ir"],
  "fractional_positions": [[0.000, 0.000, 0.000], [0.500, 0.500, 0.000], [0.279, 0.779, 0.500], [0.721, 0.221, 0.500]]
}

(17)
{
  "formula": "Li2Be2Ir",
  "functional": "PBE",
  "state": "optimized geometry",
  "total_energy_ev_per_atom": -3.966,
  "formation_enthalpy_0k_ev_per_atom": 0.062,
  "lattice_angstrom": [[5.905, 0.000, 0.000], [0.000, 5.905, 0.000], [0.000, 0.000, 3.371]],
  "species": ["Li", "Li", "Li", "Li", "Be", "Be", "Be", "Be", "Ir", "Ir"],
  "fractional_positions": [[0.168, 0.332, 0.000], [0.332, 0.832, 0.000], [0.668, 0.168, 0.000], [0.832, 0.668, 0.000], [0.141, 0.641, 0.500], [0.359, 0.141, 0.500], [0.641, 0.859, 0.500], [0.859, 0.359, 0.500], [0.000, 0.000, 0.500], [0.500, 0.500, 0.500]]
}

(18)
{
  "formula": "LiBeIr2",
  "functional": "PBE",
  "state": "optimized geometry",
  "total_energy_ev_per_atom": -5.894,
  "formation_enthalpy_0k_ev_per_atom": -0.054,
  "lattice_angstrom": [[2.679, 0.000, 0.000], [0.000, 3.850, 0.000], [0.000, 0.000, 4.930]],
  "species": ["Li", "Be", "Ir", "Ir"],
  "fractional_positions": [[0.000, 0.000, 0.000], [0.500, 0.500, 0.237], [0.000, 0.000, 0.490], [0.500, 0.500, 0.738]]
}

(19)
{
  "formula": "Li4BeIr",
  "functional": "PBE",
  "state": "optimized geometry",
  "total_energy_ev_per_atom": -3.199,
  "formation_enthalpy_0k_ev_per_atom": 0.175,
  "lattice_angstrom": [[0.000, 3.292, 3.292], [3.292, 0.000, 3.292], [3.292, 3.292, 0.000]],
  "species": ["Li", "Li", "Li", "Li", "Be", "Ir"],
  "fractional_positions": [[0.376, 0.376, 0.376], [0.376, 0.376, 0.871], [0.376, 0.871, 0.376], [0.871, 0.376, 0.376], [0.000, 0.000, 0.000], [0.750, 0.750, 0.750]]
}

(20)
{
  "formula": "LiBeIr2",
  "functional": "PBE",
  "state": "optimized geometry",
  "total_energy_ev_per_atom": -6.050,
  "formation_enthalpy_0k_ev_per_atom": -0.210,
  "lattice_angstrom": [[4.736, -1.402, 0.000], [4.736, 1.402, 0.000], [-1.661, 0.000, 3.613]],
  "species": ["Li", "Be", "Ir", "Ir"],
  "fractional_positions": [[0.000, 0.000, 0.000], [0.746, 0.746, 0.250], [0.232, 0.232, 0.735], [0.476, 0.476, 0.476]]
}

(21)
{
  "formula": "LiBeIr2",
  "functional": "PBE",
  "state": "optimized geometry",
  "total_energy_ev_per_atom": -6.009,
  "formation_enthalpy_0k_ev_per_atom": -0.169,
  "lattice_angstrom": [[2.655, -3.924, 0.000], [2.655, 3.924, 0.000], [-1.187, 0.000, 2.391]],
  "species": ["Li", "Be", "Ir", "Ir"],
  "fractional_positions": [[0.000, 0.000, 0.000], [0.500, 0.500, 0.000], [0.000, 0.500, 0.500], [0.500, 0.000, 0.500]]
}

(22)
{
  "formula": "LiBeIr2",
  "functional": "PBE",
  "state": "optimized geometry",
  "total_energy_ev_per_atom": -5.546,
  "formation_enthalpy_0k_ev_per_atom": 0.295,
  "lattice_angstrom": [[-1.845, 1.845, 8.162], [1.845, -1.845, 8.162], [1.845, 1.845, -8.162]],
  "species": ["Li", "Li", "Be", "Be", "Ir", "Ir", "Ir", "Ir"],
  "fractional_positions": [[0.000, 0.000, 0.000], [0.750, 0.250, 0.500], [0.250, 0.750, 0.500], [0.500, 0.500, 0.000], [0.134, 0.625, 0.009], [0.375, 0.384, 0.509], [0.616, 0.125, 0.991], [0.875, 0.866, 0.491]]
}

(23)
{
  "formula": "LiBeIr2",
  "functional": "PBE",
  "state": "optimized geometry",
  "total_energy_ev_per_atom": -6.100,
  "formation_enthalpy_0k_ev_per_atom": -0.259,
  "lattice_angstrom": [[1.399, -2.273, 0.000], [1.399, 2.273, 0.000], [0.000, 0.000, 8.062]],
  "species": ["Li", "Be", "Ir", "Ir"],
  "fractional_positions": [[0.000, 0.000, 0.000], [0.000, 0.000, 0.500], [0.500, 0.500, 0.274], [0.500, 0.500, 0.726]]
}

(24)
{
  "formula": "LiBeIr2",
  "functional": "PBE",
  "state": "optimized geometry",
  "total_energy_ev_per_atom": -5.725,
  "formation_enthalpy_0k_ev_per_atom": 0.116,
  "lattice_angstrom": [[1.382, -2.270, 0.000], [1.382, 2.270, 0.000], [0.000, 0.000, 8.661]],
  "species": ["Li", "Be", "Ir", "Ir"],
  "fractional_positions": [[0.000, 0.000, 0.000], [0.500, 0.500, 0.737], [0.000, 0.000, 0.531], [0.500, 0.500, 0.249]]
}

(25)
{
  "formula": "LiBeIr2",
  "functional": "PBE",
  "state": "optimized geometry",
  "total_energy_ev_per_atom": -5.910,
  "formation_enthalpy_0k_ev_per_atom": -0.070,
  "lattice_angstrom": [[-1.851, 1.851, 3.634], [1.851, -1.851, 3.634], [1.851, 1.851, -3.634]],
  "species": ["Li", "Be", "Ir", "Ir"],
  "fractional_positions": [[0.000, 0.000, 0.000], [0.250, 0.750, 0.500], [0.500, 0.500, 0.000], [0.750, 0.250, 0.500]]
}

(26)
{
  "formula": "LiBeIr4",
  "functional": "PBE",
  "state": "optimized geometry",
  "total_energy_ev_per_atom": -6.477,
  "formation_enthalpy_0k_ev_per_atom": 0.371,
  "lattice_angstrom": [[0.000, 3.626, 3.626], [3.626, 0.000, 3.626], [3.626, 3.626, 0.000]],
  "species": ["Li", "Be", "Ir", "Ir", "Ir", "Ir"],
  "fractional_positions": [[0.000, 0.000, 0.000], [0.750, 0.750, 0.750], [0.375, 0.375, 0.375], [0.375, 0.375, 0.875], [0.375, 0.875, 0.375], [0.875, 0.375, 0.375]]
}

(27)
{
  "formula": "LiBeMoIr",
  "functional": "PBE",
  "state": "optimized geometry",
  "total_energy_ev_per_atom": -6.561,
  "formation_enthalpy_0k_ev_per_atom": -0.228,
  "lattice_angstrom": [[0.000, 2.944, 2.944], [2.944, 0.000, 2.944], [2.944, 2.944, 0.000]],
  "species": ["Li", "Be", "Mo", "Ir"],
  "fractional_positions": [[0.000, 0.000, 0.000], [0.250, 0.250, 0.250], [0.750, 0.750, 0.750], [0.500, 0.500, 0.500]]
}

(28)
{
  "formula": "Li2BeIrN2",
  "functional": "PBE",
  "state": "optimized geometry",
  "total_energy_ev_per_atom": -5.813,
  "e_form_raw_mev_per_atom": -302.2,
  "lattice_angstrom": [[4.381, 0.000, 0.000], [0.000, 9.528, 0.000], [0.000, 0.000, 2.876]],
  "species": ["Li", "Li", "Li", "Li", "Be", "Be", "Ir", "Ir", "N", "N", "N", "N"],
  "fractional_positions": [[0.111, 0.248, 0.000], [0.389, 0.748, 0.500], [0.611, 0.252, 0.500], [0.889, 0.752, 0.000], [0.000, 0.000, 0.500], [0.500, 0.500, 0.000], [0.000, 0.500, 0.500], [0.500, 0.000, 0.000], [0.245, 0.618, 0.000], [0.255, 0.118, 0.500], [0.745, 0.882, 0.500], [0.755, 0.382, 0.000]]
}